The following is a DFT calculation (PBE) of crystalline DyTmGaSi at its relaxed geometry.

Calculated total energy (eV/atom): -5.125
Formation energy from raw total energies (eV per atom): -0.74

a b c (Å): 4.2727 3.9335 5.7272
angles (deg): 90.00 111.90 90.00
Last column: nearest neighbours and their distance in Å.
Fractional coordinates of all 4 atoms:
Si 0.4227 0.0000 0.8455  2 Ga 2.55
Ga 0.5758 0.5000 0.1517  2 Si 2.55
Dy 0.1413 0.0000 0.2825  4 Ga 2.99, 3 Si 2.99-3.16
Tm 0.8602 0.5000 0.7204  4 Si 2.98, 3 Ga 3.02-3.13



The following is a DFT calculation (PBE) of crystalline Dy2Y2Ga4Si at its relaxed geometry.

Calculated total energy (eV/atom): -4.723
Formation energy from raw total energies (eV per atom): -0.32

a b c (Å): 6.5698 6.5698 6.5698
angles (deg): 96.63 116.25 116.25
Last column: nearest neighbours and their distance in Å.
Fractional coordinates of all 9 atoms:
Ga 0.0000 0.7516 0.2484  1 Si 2.44
Y 0.5000 0.7500 0.2500  8 Ga 3.28, 4 Dy 3.50
Si 0.0000 0.0000 0.0000  4 Ga 2.44, 2 Dy 2.67
Dy 0.0000 0.6943 0.6943  1 Si 2.67
Ga 0.0000 0.2484 0.7516  1 Si 2.44
Ga 0.4968 0.2484 0.2484  1 Si 2.44
Ga 0.5032 0.7516 0.7516  1 Si 2.44
Dy 0.0000 0.3057 0.3057  1 Si 2.67
Y 0.5000 0.2500 0.7500  8 Ga 3.28, 4 Dy 3.50



The following is a DFT calculation (PBE) of crystalline SmDy3Ga2 at its relaxed geometry.

ΔE_f (kJ/mol of atoms): -40
Offset from the most stable computed form (eV per atom): 0.000
Calculated total energy (eV/atom): -4.516

a b c (Å): 4.9726 6.6057 9.5256
angles (deg): 90.00 90.00 90.00
Last column: nearest neighbours and their distance in Å.
Fractional coordinates of all 12 atoms:
Dy 0.0000 0.8277 0.6825  4 Ga 3.06-3.11, 2 Sm 3.39
Ga 0.5000 0.7103 0.8604  6 Dy 3.01-3.11, 1 Sm 3.18
Ga 0.0000 0.7879 0.3577  5 Dy 3.06-3.14, 2 Sm 3.11
Ga 0.0000 0.2879 0.6423  5 Dy 3.06-3.14, 2 Sm 3.11
Dy 0.0000 0.4657 0.9477  3 Ga 3.08-3.14, 2 Dy 3.37
Sm 0.5000 0.5365 0.5495  3 Ga 3.11-3.18, 2 Dy 3.39, 2 Sm 3.44
Dy 0.5000 0.6719 0.1755  4 Ga 3.01-3.13, 2 Dy 3.37
Dy 0.0000 0.9657 0.0523  3 Ga 3.08-3.14, 2 Dy 3.37
Ga 0.5000 0.2103 0.1396  6 Dy 3.01-3.11, 1 Sm 3.18
Dy 0.5000 0.1719 0.8245  4 Ga 3.01-3.13, 2 Dy 3.37
Dy 0.0000 0.3277 0.3175  4 Ga 3.06-3.11, 2 Sm 3.39
Sm 0.5000 0.0365 0.4505  3 Ga 3.11-3.18, 2 Dy 3.39, 2 Sm 3.44



The following is a DFT calculation (PBE) of crystalline SmDy2Ga6 at its relaxed geometry.

ΔE_f (kJ/mol of atoms): -63
Offset from the most stable computed form (eV per atom): 0.000
Calculated total energy (eV/atom): -4.214

a b c (Å): 4.1551 7.3120 7.3120
angles (deg): 120.00 90.00 90.00
Last column: nearest neighbours and their distance in Å.
Fractional coordinates of all 9 atoms:
Dy 0.0000 0.3333 0.6667  12 Ga 3.20
Ga 0.5000 0.0000 0.6659  3 Ga 2.43-2.44
Ga 0.5000 0.3341 0.3341  3 Ga 2.43-2.44
Ga 0.5000 0.0000 0.3341  3 Ga 2.43-2.44
Sm 0.0000 0.0000 0.0000  12 Ga 3.21
Ga 0.5000 0.6659 0.0000  3 Ga 2.43-2.44
Ga 0.5000 0.3341 0.0000  3 Ga 2.43-2.44
Dy 0.0000 0.6667 0.3333  12 Ga 3.20
Ga 0.5000 0.6659 0.6659  3 Ga 2.43-2.44



The following is a DFT calculation (PBE) of crystalline SmDyGa6 at its relaxed geometry.

ΔE_f (kJ/mol of atoms): -53
Calculated total energy (eV/atom): -3.984

a b c (Å): 4.5960 6.3176 6.3176
angles (deg): 119.97 90.00 90.00
Last column: nearest neighbours and their distance in Å.
Fractional coordinates of all 8 atoms:
Sm 0.5000 0.4165 0.5835  12 Ga 3.09-3.17
Ga 0.0000 0.6054 0.9606  6 Ga 2.74-2.80
Ga 0.5000 0.4565 0.1034  6 Ga 2.78-2.80, 2 Dy 3.07
Ga 0.0000 0.0394 0.3946  6 Ga 2.74-2.80
Ga 0.0000 0.6050 0.3950  6 Ga 2.75-2.80
Dy 0.0000 0.0835 0.9165  12 Ga 3.07-3.17
Ga 0.5000 0.8970 0.1030  6 Ga 2.78-2.80, 2 Dy 3.07
Ga 0.5000 0.8966 0.5435  6 Ga 2.78-2.80, 2 Dy 3.07



The following is a DFT calculation (PBE) of crystalline Sm5DyGa4 at its relaxed geometry.

ΔE_f (kJ/mol of atoms): -26
Calculated total energy (eV/atom): -4.305

a b c (Å): 3.7512 8.8644 8.9503
angles (deg): 94.99 102.10 90.00
Last column: nearest neighbours and their distance in Å.
Fractional coordinates of all 10 atoms:
Sm 0.1864 0.3459 0.3728  3 Ga 2.92-3.14
Sm 0.5000 0.5000 0.0000  4 Ga 2.95
Ga 0.0223 0.2507 0.0446  2 Dy 2.91, 4 Sm 2.92-3.01
Ga 0.9777 0.7493 0.9554  2 Dy 2.91, 4 Sm 2.92-3.01
Sm 0.8136 0.6541 0.6272  3 Ga 2.92-3.14
Sm 0.8496 0.2122 0.6992  4 Ga 3.01-3.08
Ga 0.3155 0.9382 0.6311  5 Sm 3.07-3.14, 1 Dy 3.23, 2 Ga 3.23
Ga 0.6845 0.0618 0.3689  5 Sm 3.07-3.14, 1 Dy 3.23, 2 Ga 3.23
Dy 0.5000 0.0000 0.0000  6 Ga 2.91-3.23
Sm 0.1504 0.7878 0.3008  4 Ga 3.01-3.08



The following is a DFT calculation (PBE) of crystalline Sm4DyGa4 at its relaxed geometry.

ΔE_f (kJ/mol of atoms): -38
Calculated total energy (eV/atom): -4.350

a b c (Å): 4.7682 10.2103 10.2103
angles (deg): 90.00 90.00 90.00
Last column: nearest neighbours and their distance in Å.
Fractional coordinates of all 18 atoms:
Dy 0.5000 0.5000 0.5000  8 Ga 3.03
Sm 0.0000 0.3545 0.1323  4 Ga 3.00-3.11
Ga 0.0000 0.3308 0.4294  2 Ga 2.65
Sm 0.0000 0.8677 0.3545  4 Ga 3.00-3.11
Ga 0.0000 0.6692 0.5706  2 Ga 2.65
Ga 0.5000 0.8308 0.9294  2 Ga 2.65
Ga 0.5000 0.9294 0.1692  2 Ga 2.65
Ga 0.0000 0.4294 0.6692  2 Ga 2.65
Ga 0.0000 0.5706 0.3308  2 Ga 2.65
Ga 0.5000 0.0706 0.8308  2 Ga 2.65
Sm 0.5000 0.8545 0.6324  4 Ga 3.00-3.11
Sm 0.5000 0.3676 0.8545  4 Ga 3.00-3.11
Ga 0.5000 0.1692 0.0706  2 Ga 2.65
Sm 0.5000 0.1455 0.3676  4 Ga 3.00-3.11
Sm 0.0000 0.6455 0.8677  4 Ga 3.00-3.11
Sm 0.0000 0.1323 0.6455  4 Ga 3.00-3.11
Sm 0.5000 0.6324 0.1455  4 Ga 3.00-3.11
Dy 0.0000 0.0000 0.0000  8 Ga 3.03



The following is a DFT calculation (PBE) of crystalline SmDy2Ga3 at its relaxed geometry.

ΔE_f (kJ/mol of atoms): -56
Offset from the most stable computed form (eV per atom): 0.000
Calculated total energy (eV/atom): -4.413

a b c (Å): 5.0803 5.0803 12.4920
angles (deg): 90.00 90.00 120.00
Last column: nearest neighbours and their distance in Å.
Fractional coordinates of all 12 atoms:
Sm 0.6667 0.3333 0.3333  8 Ga 3.11-3.14
Ga 0.3333 0.6667 0.9182  7 Dy 3.08-3.11, 1 Sm 3.14
Ga 0.0000 0.0000 0.2475  5 Dy 3.09-3.15, 3 Sm 3.12
Dy 0.3333 0.6667 0.1646  8 Ga 3.08-3.13
Dy 0.6667 0.3333 0.8354  8 Ga 3.08-3.13
Dy 0.0000 0.0000 0.5000  8 Ga 3.12-3.15
Dy 0.0000 0.0000 0.0000  8 Ga 3.09-3.11
Sm 0.3333 0.6667 0.6667  8 Ga 3.11-3.14
Ga 0.6667 0.3333 0.5845  4 Sm 3.11-3.14, 4 Dy 3.12-3.13
Ga 0.6667 0.3333 0.0818  7 Dy 3.08-3.11, 1 Sm 3.14
Ga 0.3333 0.6667 0.4155  4 Sm 3.11-3.14, 4 Dy 3.12-3.13
Ga 0.0000 0.0000 0.7525  5 Dy 3.09-3.15, 3 Sm 3.12



The following is a DFT calculation (PBE) of crystalline Sm2DyGa2 at its relaxed geometry.

ΔE_f (kJ/mol of atoms): -50
Offset from the most stable computed form (eV per atom): 0.000
Calculated total energy (eV/atom): -4.532

a b c (Å): 4.4722 7.6949 7.6949
angles (deg): 90.00 90.00 90.00
Last column: nearest neighbours and their distance in Å.
Fractional coordinates of all 10 atoms:
Ga 0.0000 0.6194 0.1194  1 Ga 2.60
Sm 0.5000 0.6745 0.8255  6 Ga 3.17-3.21
Sm 0.5000 0.1745 0.6745  6 Ga 3.17-3.21
Sm 0.5000 0.8255 0.3255  6 Ga 3.17-3.21
Ga 0.0000 0.1194 0.3806  1 Ga 2.60
Dy 0.0000 0.5000 0.5000  4 Ga 3.07
Sm 0.5000 0.3255 0.1745  6 Ga 3.17-3.21
Ga 0.0000 0.3806 0.8806  1 Ga 2.60
Ga 0.0000 0.8806 0.6194  1 Ga 2.60
Dy 0.0000 0.0000 0.0000  4 Ga 3.07



The following is a DFT calculation (PBE) of crystalline Sm2DyGa at its relaxed geometry.

ΔE_f (kJ/mol of atoms): -16
Offset from the most stable computed form (eV per atom): 0.098
Calculated total energy (eV/atom): -4.431

a b c (Å): 3.6755 3.6755 10.5498
angles (deg): 79.97 79.97 60.00
Last column: nearest neighbours and their distance in Å.
Fractional coordinates of all 4 atoms:
Sm 0.2619 0.2619 0.2143  3 Ga 3.06
Dy 0.5003 0.5003 0.4992  6 Sm 3.63-3.64, 6 Dy 3.68
Sm 0.0715 0.0715 0.7855  3 Ga 3.08
Ga 0.6663 0.6663 0.0010  6 Sm 3.06-3.08



The following is a DFT calculation (PBE) of crystalline Sm3DyGa3 at its relaxed geometry.

ΔE_f (kJ/mol of atoms): -38
Calculated total energy (eV/atom): -4.371

a b c (Å): 4.8410 9.2933 9.2933
angles (deg): 120.00 90.00 90.00
Last column: nearest neighbours and their distance in Å.
Fractional coordinates of all 14 atoms:
Ga 0.2500 0.3936 0.9413  2 Ga 2.97, 4 Sm 2.97-3.06, 1 Dy 3.24
Sm 0.2500 0.0163 0.7586  4 Ga 2.97-3.06
Dy 0.2500 0.6667 0.3333  9 Ga 3.24-3.35
Sm 0.7500 0.9837 0.2414  4 Ga 2.97-3.06
Dy 0.7500 0.3333 0.6667  9 Ga 3.24-3.35
Sm 0.2500 0.7423 0.9837  4 Ga 2.97-3.06
Sm 0.2500 0.2414 0.2577  4 Ga 2.97-3.06
Sm 0.7500 0.2577 0.0163  4 Ga 2.97-3.06
Ga 0.7500 0.6064 0.0587  2 Ga 2.97, 4 Sm 2.97-3.06, 1 Dy 3.24
Sm 0.7500 0.7586 0.7423  4 Ga 2.97-3.06
Ga 0.2500 0.5476 0.6064  2 Ga 2.97, 4 Sm 2.97-3.06, 1 Dy 3.24
Ga 0.7500 0.4524 0.3936  2 Ga 2.97, 4 Sm 2.97-3.06, 1 Dy 3.24
Ga 0.7500 0.9413 0.5476  2 Ga 2.97, 4 Sm 2.97-3.06, 1 Dy 3.24
Ga 0.2500 0.0587 0.4524  2 Ga 2.97, 4 Sm 2.97-3.06, 1 Dy 3.24